No. 1
TmGa2Fe: relaxed, PBE-GGA.

The formation energy comes out at -0.343 eV/atom. The calculation puts the density of states at the Fermi level at 2.0 states/eV/f.u. For the total energy, the calculation gives -40.72 eV per cell.

abc: 6.2513 6.2513 5.1695
angles: 102.48 102.48 126.40
Element x y z (fractional)
Tm 0.1380 0.8620 0.7500
Tm 0.8620 0.1380 0.2500
Ga 0.2763 0.4715 0.9360
Ga 0.4715 0.2763 0.4360
Ga 0.5285 0.7237 0.5640
Ga 0.7237 0.5285 0.0640
Fe 0.2278 0.7722 0.2500
Fe 0.7722 0.2278 0.7500

No. 2
Tm3Ga9Fe2: relaxed, PBE-GGA.

The formation energy comes out at -0.446 eV/atom. The calculation puts the density of states at the Fermi level at 6.4 states/eV/f.u. For the total energy, the calculation gives -63.83 eV per cell.

abc: 7.9883 7.9883 7.9883
angles: 149.57 107.96 80.18
Element x y z (fractional)
Tm 0.0000 0.0000 0.0000
Tm 0.3036 0.3036 0.0000
Tm 0.6964 0.6964 0.0000
Ga 0.0143 0.6512 0.3631
Ga 0.1536 0.8689 0.2847
Ga 0.2881 0.6512 0.6369
Ga 0.4159 0.1311 0.2847
Ga 0.5000 0.0000 0.5000
Ga 0.5841 0.8689 0.7153
Ga 0.7119 0.3488 0.3631
Ga 0.8464 0.1311 0.7153
Ga 0.9857 0.3488 0.6369
Fe 0.3235 0.5000 0.8235
Fe 0.6765 0.5000 0.1765

No. 3
Tm4GaFe: relaxed, PBE-GGA.

The formation energy comes out at -0.238 eV/atom. The calculation puts the density of states at the Fermi level at 5.8 states/eV/f.u. For the total energy, the calculation gives -61.61 eV per cell.

abc: 7.4246 7.4246 5.9342
angles: 99.12 99.12 111.96
Element x y z (fractional)
Tm 0.0609 0.7262 0.9581
Tm 0.2101 0.3629 0.5978
Tm 0.2738 0.9391 0.5419
Tm 0.3629 0.2101 0.0978
Tm 0.6371 0.7899 0.9022
Tm 0.7262 0.0609 0.4581
Tm 0.7899 0.6371 0.4022
Tm 0.9391 0.2738 0.0419
Ga 0.3738 0.6262 0.2500
Ga 0.6262 0.3738 0.7500
Fe 0.0012 0.9988 0.7500
Fe 0.9988 0.0012 0.2500

No. 4
TmGa3Fe: relaxed, PBE-GGA.

The formation energy comes out at -0.227 eV/atom. The calculation puts the density of states at the Fermi level at 2.2 states/eV/f.u. For the total energy, the calculation gives -23.15 eV per cell.

abc: 4.5210 4.5210 4.5210
angles: 90.00 90.00 90.00
Element x y z (fractional)
Tm 0.0000 0.0000 0.0000
Ga 0.0000 0.5000 0.5000
Ga 0.5000 0.0000 0.5000
Ga 0.5000 0.5000 0.0000
Fe 0.5000 0.5000 0.5000